Record 1
The following is a GGA-PBE calculation of BeCuAgAs after structural relaxation, from OQMD.

- SG: No. 216
- Raw total energy: -3.403 eV/atom

Lattice parameters (Å, degrees): 4.3525 4.3525 4.3525 60.00 60.00 60.00
Sites, in units of the cell vectors:
Be 0.0000 0.0000 0.0000
Cu 0.5000 0.5000 0.5000
Ag 0.2500 0.2500 0.2500
As 0.7500 0.7500 0.7500

***

Record 2
The following is a GGA-PBE calculation of In2FeTe3Se after structural relaxation, from OQMD.

- Total magnetization: 4.00 Bohr magnetons per cell
- SG: No. 1
- Raw total energy: -4.039 eV/atom

Lattice parameters (Å, degrees): 6.1531 6.1753 7.4397 65.73 65.67 89.14
Sites, in units of the cell vectors:
In 0.0000 0.0000 0.0000
In 0.2449 0.7611 0.5117
Fe 0.4831 0.5185 0.9964
Te 0.0982 0.1735 0.2651
Te 0.6226 0.5821 0.2626
Te 0.8329 0.3817 0.7380
Se 0.3954 0.8783 0.7558

***

Record 3
The following is a GGA-PBE calculation of Pr3Mg3GaAg2 after structural relaxation, from OQMD.

- Total magnetization: 0.01 Bohr magnetons per cell
- SG: No. 189
- Raw total energy: -3.378 eV/atom

Lattice parameters (Å, degrees): 7.7153 7.7153 4.4587 90.00 90.00 120.00
Sites, in units of the cell vectors:
Pr 0.0000 0.4103 0.0000
Pr 0.4103 0.0000 0.0000
Pr 0.5897 0.5897 0.0000
Mg 0.0000 0.7614 0.5000
Mg 0.2386 0.2386 0.5000
Mg 0.7614 0.0000 0.5000
Ga 0.0000 0.0000 0.0000
Ag 0.3333 0.6667 0.5000
Ag 0.6667 0.3333 0.5000

***

Record 4
The following is a GGA-PBE calculation of LiSnAu after structural relaxation, from OQMD.

- SG: No. 194
- Raw total energy: -3.494 eV/atom

Lattice parameters (Å, degrees): 4.7507 4.7507 6.0419 90.00 90.00 120.00
Sites, in units of the cell vectors:
Li 0.0000 0.0000 0.0000
Li 0.0000 0.0000 0.5000
Sn 0.3333 0.6667 0.2500
Sn 0.6667 0.3333 0.7500
Au 0.3333 0.6667 0.7500
Au 0.6667 0.3333 0.2500

***

Record 5
The following is a GGA-PBE calculation of Cs2CuMoBr6 after structural relaxation, from OQMD.

- Total magnetization: 3.00 Bohr magnetons per cell
- SG: No. 225
- Raw total energy: -3.569 eV/atom

Lattice parameters (Å, degrees): 7.5852 7.5852 7.5852 60.00 60.00 60.00
Sites, in units of the cell vectors:
Cs 0.2500 0.2500 0.2500
Cs 0.7500 0.7500 0.7500
Cu 0.0000 0.0000 0.0000
Mo 0.5000 0.5000 0.5000
Br 0.2532 0.2532 0.7468
Br 0.2532 0.7468 0.2532
Br 0.2532 0.7468 0.7468
Br 0.7468 0.2532 0.2532
Br 0.7468 0.2532 0.7468
Br 0.7468 0.7468 0.2532

***

Record 6
The following is a GGA-PBE calculation of ReSnSeS3 after structural relaxation, from OQMD.

- Total magnetization: 0.00 Bohr magnetons per cell
- SG: No. 2
- Raw total energy: -5.692 eV/atom

Lattice parameters (Å, degrees): 6.5364 6.8603 7.3873 62.65 72.42 89.07
Sites, in units of the cell vectors:
Re 0.0017 0.2050 0.0015
Re 0.9983 0.7950 0.9985
Sn 0.0029 0.7342 0.5256
Sn 0.9971 0.2658 0.4744
Se 0.2635 0.6580 0.1977
Se 0.7365 0.3420 0.8023
S 0.2074 0.5969 0.7934
S 0.2248 0.1235 0.2146
S 0.2363 0.1270 0.7423
S 0.7637 0.8730 0.2577
S 0.7752 0.8765 0.7854
S 0.7926 0.4031 0.2066